# 1
Compound: Cs2TaTlF6
Source: Alexandria
Functional: PBE
Structure: optimized geometry

Cell: 9.655 9.655 9.655 Å, 90.00 90.00 90.00°
Space group Fm-3m (No. 225)
Asymmetric unit:
Cs 0.250 0.250 0.250 [8 per cell]
Ta 0.000 0.000 0.000 [4 per cell]
Tl 0.000 0.000 0.500 [4 per cell]
F 0.000 0.000 0.215 [24 per cell]

Output
- E_form (uncorrected) (eV per atom) = -2.49
- calculated volume (Å³/cell) = 900.1

# 2
Compound: CsTbF5
Source: Alexandria
Functional: PBE
Structure: optimized geometry

Cell: 14.669 8.473 8.484 Å, 90.00 90.00 90.00°
Space group Cmce (No. 64)
Asymmetric unit:
Cs 0.197 0.000 0.000 [8 per cell]
Tb 0.000 0.161 0.340 [8 per cell]
F 0.000 0.072 0.791 [8 per cell]
F 0.000 0.209 0.074 [8 per cell]
F 0.096 0.000 0.500 [8 per cell]
F 0.150 0.196 0.311 [16 per cell]

Output
- E_form (uncorrected) (eV per atom) = -3.14
- calculated volume (Å³/cell) = 1054.6

# 3
Compound: CsTb3F10
Source: Alexandria
Functional: PBE
Structure: optimized geometry

Cell: 11.858 11.858 11.858 Å, 90.00 90.00 90.00°
Space group Fm-3m (No. 225)
Asymmetric unit:
Cs 0.250 0.250 0.250 [8 per cell]
Tb 0.000 0.000 0.240 [24 per cell]
F 0.000 0.163 0.337 [48 per cell]
F 0.109 0.109 0.109 [32 per cell]

Output
- E_form (uncorrected) (eV per atom) = -3.98
- calculated volume (Å³/cell) = 1667.2

# 4
Compound: CsTbF4
Source: Alexandria
Functional: PBE
Structure: optimized geometry

Cell: 4.473 18.311 6.835 Å, 90.00 90.00 90.00°
Space group Cmcm (No. 63)
Asymmetric unit:
Cs 0.000 0.186 0.250 [4 per cell]
Tb 0.000 0.420 0.250 [4 per cell]
F 0.000 0.075 0.750 [4 per cell]
F 0.000 0.333 0.036 [8 per cell]
F 0.000 0.500 0.000 [4 per cell]

Output
- E_form (uncorrected) (eV per atom) = -3.71
- calculated volume (Å³/cell) = 559.8

# 5
Compound: Cs2TbF6
Source: Alexandria
Functional: PBE
Structure: optimized geometry

Cell: 13.817 7.063 4.110 Å, 90.00 103.91 90.00°
Space group C2/m (No. 12)
Asymmetric unit:
Cs 0.167 0.000 0.163 [4 per cell]
Tb 0.000 0.500 0.500 [2 per cell]
F 0.000 0.322 0.000 [4 per cell]
F 0.130 0.299 0.633 [8 per cell]

Output
- E_form (uncorrected) (eV per atom) = -3.05
- calculated volume (Å³/cell) = 389.3

# 6
Compound: CsTbF4
Source: Alexandria
Functional: PBE
Structure: optimized geometry

Cell: 6.011 6.011 7.287 Å, 90.00 90.00 90.00°
Space group P4/mbm (No. 127)
Asymmetric unit:
Cs 0.000 0.500 0.000 [2 per cell]
Tb 0.000 0.000 0.500 [2 per cell]
F 0.000 0.000 0.202 [4 per cell]
F 0.178 0.322 0.500 [4 per cell]

Output
- E_form (uncorrected) (eV per atom) = -3.67
- calculated volume (Å³/cell) = 263.3

# 7
Compound: Cs4TbF7
Source: Alexandria
Functional: PBE
Structure: optimized geometry

Cell: 15.628 4.593 10.850 Å, 90.00 127.83 90.00°
Space group C2/m (No. 12)
Asymmetric unit:
Cs 0.078 0.000 0.262 [4 per cell]
Cs 0.247 0.000 0.852 [4 per cell]
Tb 0.000 0.500 0.500 [2 per cell]
F 0.000 0.000 0.500 [2 per cell]
F 0.073 0.500 0.748 [4 per cell]
F 0.124 0.000 0.040 [4 per cell]
F 0.158 0.500 0.550 [4 per cell]

Output
- E_form (uncorrected) (eV per atom) = -3.16
- calculated volume (Å³/cell) = 615.1

# 8
Compound: CsTbTl2F6
Source: Alexandria
Functional: PBE
Structure: optimized geometry

Cell: 6.806 6.807 6.815 Å, 62.64 62.64 62.61°
Space group P-1 (No. 2)
Asymmetric unit:
Cs 0.000 0.000 0.000 [1 per cell]
Tb 0.500 0.500 0.500 [1 per cell]
Tl 0.274 0.274 0.275 [2 per cell]
F 0.173 0.409 0.668 [2 per cell]
F 0.330 0.827 0.590 [2 per cell]
F 0.410 0.669 0.173 [2 per cell]

Output
- E_form (uncorrected) (eV per atom) = -2.92
- calculated volume (Å³/cell) = 236.3